[1]
Here is a geometry-optimized LiY3P3O12 structure from Alexandria. Energies are from GGA-PBE.

Computed properties:
Density of states at the Fermi level, states/eV per cell: 0.4

Cell lengths 6.904, 6.904, 6.477 Å; angles 89.87, 89.87, 118.86 degrees
Each line ends with the local moment (μB).
Sites, in units of the cell vectors:
O (0.776, 0.205, 0.234)  0.00
O (0.848, 0.552, 0.542)  0.02
O (0.795, 0.224, 0.766)  0.00
O (0.142, 0.441, 0.546)  0.01
O (0.700, 0.563, 0.136)  0.00
O (0.437, 0.300, 0.864)  0.00
O (0.559, 0.858, 0.454)  0.01
O (0.532, 0.688, 0.836)  0.00
O (0.073, 0.615, 0.868)  0.00
O (0.312, 0.468, 0.164)  0.00
O (0.385, 0.927, 0.132)  0.00
O (0.448, 0.152, 0.458)  0.02
Li (0.697, 0.303, 0.000)  0.01
Y (0.410, 0.939, 0.762)  0.23
Y (0.061, 0.590, 0.238)  0.23
Y (0.499, 0.501, 0.500)  0.02
P (0.548, 0.037, 0.316)  0.00
P (0.492, 0.508, 0.000)  0.00
P (0.963, 0.452, 0.684)  0.00



[2]
Here is a geometry-optimized LiY3P3O12 structure from Alexandria. Energies are from GGA-PBE.

Computed properties:
Density of states at the Fermi level, states/eV per cell: 2.8

Cell lengths 6.962, 6.962, 6.336 Å; angles 90.00, 90.00, 119.59 degrees
Sites, in units of the cell vectors:
O (0.554, 0.858, 0.017)
O (0.696, 0.138, 0.319)
O (0.304, 0.862, 0.319)
O (0.138, 0.696, 0.681)
O (0.303, 0.441, 0.349)
O (0.446, 0.142, 0.017)
O (0.559, 0.697, 0.651)
O (0.858, 0.554, 0.983)
O (0.441, 0.303, 0.651)
O (0.862, 0.304, 0.681)
O (0.697, 0.559, 0.349)
O (0.142, 0.446, 0.983)
Y (0.000, 0.500, 0.328)
Y (0.500, 0.500, 0.000)
Y (0.500, 0.000, 0.672)
P (0.500, 0.500, 0.500)
P (0.500, 0.000, 0.168)
P (0.000, 0.500, 0.832)
Li (0.000, 0.000, 0.500)



[3]
Here is a geometry-optimized LiYP4O12 structure from Alexandria. Energies are from GGA-PBE.

Computed properties:
Density of states at the Fermi level, states/eV per cell: 0.0

Cell lengths 8.982, 8.982, 9.716 Å; angles 57.16, 57.16, 46.82 degrees
Sites, in units of the cell vectors:
O (0.740, 0.509, 0.274)
O (0.654, 0.489, 0.583)
O (0.676, 0.099, 0.539)
O (0.491, 0.260, 0.226)
O (0.489, 0.654, 0.083)
O (0.283, 0.028, 0.921)
O (0.833, 0.676, 0.338)
O (0.260, 0.491, 0.726)
O (0.062, 0.072, 0.796)
O (0.099, 0.676, 0.039)
O (0.324, 0.167, 0.162)
O (0.717, 0.972, 0.079)
O (0.346, 0.511, 0.417)
O (0.324, 0.901, 0.461)
O (0.676, 0.833, 0.838)
O (0.167, 0.324, 0.662)
O (0.509, 0.740, 0.774)
O (0.072, 0.062, 0.296)
O (0.938, 0.928, 0.204)
O (0.972, 0.717, 0.579)
O (0.511, 0.346, 0.917)
O (0.928, 0.938, 0.704)
O (0.901, 0.324, 0.961)
O (0.028, 0.283, 0.421)
P (0.812, 0.914, 0.658)
P (0.504, 0.204, 0.097)
P (0.204, 0.504, 0.597)
P (0.086, 0.188, 0.842)
P (0.914, 0.812, 0.158)
P (0.188, 0.086, 0.342)
P (0.496, 0.796, 0.903)
P (0.796, 0.496, 0.403)
Li (0.794, 0.206, 0.750)
Li (0.206, 0.794, 0.250)
Y (0.706, 0.294, 0.250)
Y (0.294, 0.706, 0.750)



[4]
Here is a geometry-optimized LiYPO4 structure from Alexandria. Energies are from GGA-PBE.

Computed properties:
Density of states at the Fermi level, states/eV per cell: 2.6

Cell lengths 6.151, 6.128, 6.128 Å; angles 61.35, 59.88, 59.88 degrees
Sites, in units of the cell vectors:
Y (0.000, 0.000, 0.000)
Y (0.000, 0.500, 0.500)
Li (0.000, 0.000, 0.500)
Li (0.500, 0.000, 0.500)
O (0.730, 0.314, 0.226)
O (0.688, 0.269, 0.769)
O (0.270, 0.686, 0.774)
O (0.730, 0.726, 0.814)
O (0.312, 0.731, 0.231)
O (0.726, 0.731, 0.231)
O (0.270, 0.274, 0.186)
O (0.274, 0.269, 0.769)
P (0.373, 0.377, 0.877)
P (0.627, 0.623, 0.123)



[5]
Here is a geometry-optimized LiYPO2 structure from Alexandria. Energies are from GGA-PBE.

Computed properties:
Density of states at the Fermi level, states/eV per cell: 3.5

Cell lengths 4.380, 4.380, 5.694 Å; angles 90.00, 90.00, 90.00 degrees
Each line ends with the local moment (μB).
Sites, in units of the cell vectors:
O (0.000, 0.500, 0.000)  0.54
O (0.500, 0.000, 0.000)  0.54
Li (0.500, 0.500, 0.500)  0.02
Y (0.000, 0.000, 0.000)  -0.02
P (0.000, 0.000, 0.500)  0.71



[6]
Here is a geometry-optimized LiYbP4O12 structure from Alexandria. Energies are from GGA-PBE.

Computed properties:
Density of states at the Fermi level, states/eV per cell: 38.3

Cell lengths 8.995, 8.995, 9.769 Å; angles 57.30, 57.30, 46.97 degrees
Each line ends with the local moment (μB).
Sites, in units of the cell vectors:
P (0.992, 0.299, 0.306)  0.00
P (0.691, 0.583, 0.883)  0.00
P (0.309, 0.417, 0.117)  0.00
P (0.583, 0.691, 0.383)  0.00
P (0.299, 0.992, 0.806)  0.00
P (0.701, 0.008, 0.194)  0.00
P (0.417, 0.309, 0.617)  0.00
P (0.008, 0.701, 0.694)  0.00
O (0.424, 0.442, 0.931)  0.03
O (0.781, 0.531, 0.268)  0.01
O (0.469, 0.219, 0.232)  0.01
O (0.758, 0.993, 0.024)  0.06
O (0.015, 0.840, 0.727)  0.04
O (0.172, 0.337, 0.154)  0.02
O (0.400, 0.825, 0.313)  0.05
O (0.337, 0.172, 0.654)  0.02
O (0.531, 0.781, 0.768)  0.01
O (0.576, 0.558, 0.069)  0.03
O (0.175, 0.600, 0.187)  0.05
O (0.985, 0.160, 0.273)  0.04
O (0.840, 0.015, 0.227)  0.04
O (0.828, 0.663, 0.846)  0.02
O (0.600, 0.175, 0.687)  0.05
O (0.242, 0.007, 0.976)  0.06
O (0.442, 0.424, 0.431)  0.03
O (0.219, 0.469, 0.732)  0.01
O (0.007, 0.242, 0.476)  0.06
O (0.663, 0.828, 0.346)  0.02
O (0.825, 0.400, 0.813)  0.05
O (0.993, 0.758, 0.524)  0.06
O (0.558, 0.576, 0.569)  0.03
O (0.160, 0.985, 0.773)  0.04
Li (0.295, 0.705, 0.750)  0.00
Li (0.705, 0.295, 0.250)  0.00
Yb (0.800, 0.200, 0.750)  0.66
Yb (0.200, 0.800, 0.250)  0.66



[7]
Here is a geometry-optimized LiZnP2O structure from Alexandria. Energies are from GGA-PBE.

Computed properties:
Density of states at the Fermi level, states/eV per cell: 2.4

Cell lengths 4.695, 4.695, 3.251 Å; angles 90.00, 90.00, 90.00 degrees
Sites, in units of the cell vectors:
P (0.000, 0.500, 0.000)
P (0.500, 0.000, 0.000)
O (0.000, 0.000, 0.500)
Zn (0.500, 0.500, 0.500)
Li (0.000, 0.000, 0.000)



[8]
Here is a geometry-optimized LiZn2PO4 structure from Alexandria. Energies are from GGA-PBE.

Cell lengths 5.160, 5.160, 4.488 Å; angles 116.20, 116.20, 103.41 degrees
Sites, in units of the cell vectors:
P (0.546, 0.546, 0.093)
O (0.583, 0.583, 0.768)
O (0.309, 0.802, 0.111)
O (0.185, 0.185, 0.768)
O (0.802, 0.309, 0.111)
Zn (0.282, 0.782, 0.564)
Zn (0.782, 0.282, 0.564)
Li (0.012, 0.012, 0.023)



[9]
Here is a geometry-optimized LiZnP2O6 structure from Alexandria. Energies are from GGA-PBE.

Computed properties:
Density of states at the Fermi level, states/eV per cell: 3.4

Cell lengths 5.760, 7.426, 7.426 Å; angles 86.90, 67.41, 67.41 degrees
Sites, in units of the cell vectors:
P (0.733, 0.674, 0.822)
P (0.233, 0.822, 0.674)
P (0.267, 0.326, 0.178)
P (0.767, 0.178, 0.326)
O (0.607, 0.229, 0.551)
O (0.075, 0.216, 0.294)
O (0.888, 0.956, 0.264)
O (0.893, 0.449, 0.771)
O (0.612, 0.736, 0.044)
O (0.393, 0.771, 0.449)
O (0.107, 0.551, 0.229)
O (0.112, 0.044, 0.736)
O (0.388, 0.264, 0.956)
O (0.925, 0.784, 0.706)
O (0.425, 0.706, 0.784)
O (0.575, 0.294, 0.216)
Zn (0.250, 0.248, 0.752)
Zn (0.750, 0.752, 0.248)
Li (0.750, 0.246, 0.754)
Li (0.250, 0.754, 0.246)



[10]
Here is a geometry-optimized Li2ZnPO4 structure from Alexandria. Energies are from GGA-PBE.

Computed properties:
Density of states at the Fermi level, states/eV per cell: 1.5

Cell lengths 4.801, 4.801, 5.210 Å; angles 117.43, 117.43, 90.02 degrees
Sites, in units of the cell vectors:
O (0.431, 0.803, 0.234)
O (0.197, 0.197, 0.766)
O (0.569, 0.569, 0.766)
O (0.803, 0.431, 0.234)
Zn (0.000, 0.000, 0.000)
P (0.500, 0.500, 0.000)
Li (0.250, 0.750, 0.500)
Li (0.750, 0.250, 0.500)



[11]
Here is a geometry-optimized Li4ZnP2O8 structure from Alexandria. Energies are from GGA-PBE.

Computed properties:
Density of states at the Fermi level, states/eV per cell: 0.0

Cell lengths 8.218, 8.208, 10.413 Å; angles 90.00, 90.00, 104.65 degrees
Sites, in units of the cell vectors:
O (0.615, 0.337, 0.999)
O (0.563, 0.564, 0.254)
O (0.726, 0.228, 0.201)
O (0.137, 0.811, 0.987)
O (0.437, 0.436, 0.754)
O (0.242, 0.738, 0.207)
O (0.804, 0.634, 0.826)
O (0.563, 0.064, 0.555)
O (0.137, 0.311, 0.822)
O (0.662, 0.379, 0.504)
O (0.863, 0.189, 0.487)
O (0.437, 0.936, 0.055)
O (0.758, 0.262, 0.707)
O (0.338, 0.121, 0.806)
O (0.072, 0.566, 0.551)
O (0.928, 0.434, 0.051)
O (0.072, 0.066, 0.259)
O (0.196, 0.866, 0.484)
O (0.242, 0.238, 0.602)
O (0.385, 0.163, 0.310)
O (0.804, 0.134, 0.984)
O (0.863, 0.689, 0.322)
O (0.274, 0.772, 0.701)
O (0.928, 0.934, 0.759)
O (0.726, 0.728, 0.608)
O (0.274, 0.272, 0.108)
O (0.615, 0.837, 0.810)
O (0.196, 0.366, 0.326)
O (0.758, 0.762, 0.102)
O (0.662, 0.879, 0.306)
O (0.338, 0.621, 0.004)
O (0.385, 0.663, 0.499)
Li (0.522, 0.022, 0.228)
Li (0.150, 0.901, 0.806)
Li (0.603, 0.351, 0.318)
Li (0.397, 0.649, 0.818)
Li (0.478, 0.978, 0.728)
Li (0.850, 0.099, 0.306)
Li (0.655, 0.408, 0.817)
Li (0.522, 0.522, 0.581)
Li (0.654, 0.908, 0.993)
Li (0.603, 0.851, 0.491)
Li (0.150, 0.401, 0.003)
Li (0.850, 0.599, 0.503)
Li (0.345, 0.592, 0.317)
Li (0.346, 0.092, 0.493)
Li (0.397, 0.149, 0.991)
Li (0.478, 0.478, 0.081)
P (0.711, 0.724, 0.247)
P (0.233, 0.716, 0.560)
P (0.767, 0.784, 0.749)
P (0.767, 0.284, 0.060)
P (0.233, 0.216, 0.249)
P (0.711, 0.224, 0.563)
P (0.289, 0.776, 0.063)
P (0.289, 0.276, 0.747)
Zn (0.908, 0.660, 0.999)
Zn (0.092, 0.340, 0.499)
Zn (0.092, 0.840, 0.311)
Zn (0.908, 0.160, 0.811)



[12]
Here is a geometry-optimized LiZnP2O structure from Alexandria. Energies are from GGA-PBE.

Computed properties:
Density of states at the Fermi level, states/eV per cell: 2.9

Cell lengths 4.983, 4.983, 3.565 Å; angles 90.00, 90.00, 90.00 degrees
Sites, in units of the cell vectors:
O (0.000, 0.000, 0.500)
P (0.500, 0.000, 0.000)
P (0.000, 0.500, 0.000)
Zn (0.000, 0.000, 0.000)
Li (0.500, 0.500, 0.500)



[13]
Here is a geometry-optimized LiZn2P2O7 structure from Alexandria. Energies are from GGA-PBE.

Computed properties:
Density of states at the Fermi level, states/eV per cell: 2.1

Cell lengths 5.180, 5.180, 7.589 Å; angles 70.04, 70.04, 60.00 degrees
Sites, in units of the cell vectors:
O (0.901, 0.619, 0.291)
O (0.000, 0.000, 0.000)
O (0.381, 0.099, 0.709)
O (0.099, 0.811, 0.709)
O (0.189, 0.901, 0.291)
O (0.619, 0.189, 0.291)
O (0.811, 0.381, 0.709)
Li (0.500, 0.500, 0.500)
Zn (0.269, 0.269, 0.194)
Zn (0.731, 0.731, 0.806)
P (0.923, 0.923, 0.230)
P (0.077, 0.077, 0.770)



[14]
Here is a geometry-optimized LiZnPO2 structure from Alexandria. Energies are from GGA-PBE.

Computed properties:
Density of states at the Fermi level, states/eV per cell: 3.9

Cell lengths 3.904, 4.815, 3.904 Å; angles 90.00, 90.00, 90.00 degrees
Each line ends with the local moment (μB).
Sites, in units of the cell vectors:
Zn (0.000, 0.000, 0.000)  0.03
P (0.000, 0.500, 0.000)  0.47
O (0.500, 0.000, 0.000)  0.52
O (0.000, 0.000, 0.500)  0.49
Li (0.500, 0.500, 0.500)  0.02



[15]
Here is a geometry-optimized LiZnPO2 structure from Alexandria. Energies are from GGA-PBE.

Computed properties:
Density of states at the Fermi level, states/eV per cell: 3.4

Cell lengths 3.641, 3.641, 4.709 Å; angles 90.00, 90.00, 90.00 degrees
Each line ends with the local moment (μB).
Sites, in units of the cell vectors:
P (0.000, 0.000, 0.500)  0.07
O (0.000, 0.500, 0.000)  0.77
O (0.500, 0.000, 0.000)  0.77
Zn (0.500, 0.500, 0.500)  0.01
Li (0.000, 0.000, 0.000)  -0.01



[16]
Here is a geometry-optimized LiZrPO2 structure from Alexandria. Energies are from GGA-PBE.

Computed properties:
Density of states at the Fermi level, states/eV per cell: 2.0

Cell lengths 4.114, 4.114, 5.437 Å; angles 90.00, 90.00, 90.00 degrees
Each line ends with the local moment (μB).
Sites, in units of the cell vectors:
P (0.000, 0.000, 0.500)  0.52
O (0.000, 0.500, 0.000)  0.23
O (0.500, 0.000, 0.000)  0.23
Zr (0.000, 0.000, 0.000)  -0.03
Li (0.500, 0.500, 0.500)  0.02



[17]
Here is a geometry-optimized LiZrPO2 structure from Alexandria. Energies are from GGA-PBE.

Computed properties:
Density of states at the Fermi level, states/eV per cell: 1.3

Cell lengths 3.780, 3.780, 4.090 Å; angles 90.00, 90.00, 90.00 degrees
Sites, in units of the cell vectors:
Li (0.000, 0.000, 0.000)
Zr (0.500, 0.500, 0.500)
P (0.000, 0.000, 0.500)
O (0.500, 0.000, 0.000)
O (0.000, 0.500, 0.000)



[18]
Here is a geometry-optimized LiZrPO5 structure from Alexandria. Energies are from GGA-PBE.

Computed properties:
Density of states at the Fermi level, states/eV per cell: 0.0

Cell lengths 5.590, 5.590, 7.634 Å; angles 109.22, 109.22, 93.32 degrees
Sites, in units of the cell vectors:
Zr (0.000, 0.000, 0.500)
Zr (0.000, 0.000, 0.000)
O (0.730, 0.231, 0.406)
O (0.270, 0.769, 0.594)
O (0.658, 0.701, 0.853)
O (0.769, 0.270, 0.094)
O (0.231, 0.730, 0.906)
O (0.089, 0.911, 0.250)
O (0.342, 0.299, 0.147)
O (0.911, 0.089, 0.750)
O (0.299, 0.342, 0.647)
O (0.701, 0.658, 0.353)
Li (0.679, 0.321, 0.750)
Li (0.321, 0.679, 0.250)
P (0.360, 0.640, 0.750)
P (0.640, 0.360, 0.250)



Number 1: E_form (uncorrected) -2.729 eV/atom, magnetic moment 0.05 μB per atom, density 3.43 g cm⁻³. Number 2: E_form (uncorrected) -2.745 eV/atom, magnetic moment 0.01 μB per atom, density 3.47 g cm⁻³. Number 3: E_form (uncorrected) -2.457 eV/atom, magnetic moment 0.00 μB per atom, density 2.97 g cm⁻³. Number 4: E_form (uncorrected) -2.410 eV/atom, magnetic moment 0.00 μB per atom, density 3.85 g cm⁻³. Number 5: E_form (uncorrected) -0.932 eV/atom, magnetic moment 0.60 μB per atom, density 2.41 g cm⁻³. Number 6: E_form (uncorrected) -2.323 eV/atom, magnetic moment 0.06 μB per atom, density 3.53 g cm⁻³. Number 7: E_form (uncorrected) 0.431 eV/atom, magnetic moment 0.00 μB per atom, density 3.48 g cm⁻³. Number 8: E_form (uncorrected) -1.464 eV/atom, magnetic moment 0.00 μB per atom, density 4.74 g cm⁻³. Number 9: E_form (uncorrected) -1.833 eV/atom, magnetic moment 0.00 μB per atom, density 2.84 g cm⁻³. Number 10: E_form (uncorrected) -1.891 eV/atom, magnetic moment 0.00 μB per atom, density 3.18 g cm⁻³. Number 11: E_form (uncorrected) -2.281 eV/atom, magnetic moment 0.00 μB per atom, density 2.77 g cm⁻³. Number 12: E_form (uncorrected) 0.360 eV/atom, magnetic moment 0.00 μB per atom, density 2.82 g cm⁻³. Number 13: E_form (uncorrected) -1.795 eV/atom, magnetic moment 0.00 μB per atom, density 3.19 g cm⁻³. Number 14: E_form (uncorrected) 0.071 eV/atom, magnetic moment 0.45 μB per atom, density 3.06 g cm⁻³. Number 15: E_form (uncorrected) 0.243 eV/atom, magnetic moment 0.38 μB per atom, density 3.60 g cm⁻³. Number 16: E_form (uncorrected) -1.362 eV/atom, magnetic moment 0.36 μB per atom, density 2.91 g cm⁻³. Number 17: E_form (uncorrected) -0.706 eV/atom, magnetic moment 0.00 μB per atom, density 4.58 g cm⁻³. Number 18: E_form (uncorrected) -2.712 eV/atom, magnetic moment 0.00 μB per atom, density 3.32 g cm⁻³.